! AsWSe2O, relaxed, DFT PBE with a Hubbard U; values from VASP
&SYSTEM
  ibrav = 0, nat = 5, ntyp = 4
/
ATOMIC_SPECIES
O 16.00 O.upf
As 74.92 As.upf
Se 78.96 Se.upf
W 183.84 W.upf
CELL_PARAMETERS angstrom
4.841 0.000 0.000
0.000 4.841 0.000
0.000 0.000 5.002
ATOMIC_POSITIONS crystal
O 0.500 0.500 0.500
As 0.000 0.000 0.500
Se 0.000 0.500 0.000
Se 0.500 0.000 0.000
W 0.000 0.000 0.000
! V	117	Å³/cell
! uncorrected energy	-18.7	eV for the cell shown
! spin magnetization	0.0	Bohr magnetons per cell
! energy above the most stable polymorph in this dataset	1195.1	meV/atom